Material: Cs3LiNi2F9
Method: DFT, PBE with a Hubbard U
State: relaxed

abc: 6.039 6.039 7.439
angles: 90.00 90.00 120.00
Site moments in Bohr magnetons follow the coordinates.
Sites, in units of the cell vectors:
Cs1 0.333 0.667 0.657  0.00
Cs2 0.000 0.000 0.000  0.00
Cs3 0.667 0.333 0.343  0.00
Li1 0.000 0.000 0.500  0.00
Ni1 0.333 0.667 0.162  1.65
Ni2 0.667 0.333 0.838  1.65
F1 0.821 0.179 0.687  -0.05
F2 0.821 0.643 0.687  -0.05
F3 0.357 0.179 0.687  -0.05
F4 0.643 0.821 0.313  -0.05
F5 0.179 0.357 0.313  -0.05
F6 0.179 0.821 0.313  -0.05
F7 0.500 0.000 0.000  -0.05
F8 0.000 0.500 0.000  -0.05
F9 0.500 0.500 0.000  -0.05

Properties
Total energy   -4.121 eV per atom
Magnetization   0.19 μB/atom
DOS at the Fermi energy   12.00 states/eV/f.u.